The following is a GGA-PBE calculation of a relaxed Zr2FeOs3 crystal, from the Open Quantum Materials Database.

For the uncorrected energy, the calculation gives -10.1939 eV/atom. The value obtained for the magnetic moment is 0.005 μB/f.u. The calculation puts the formation energy at -0.35 eV/atom. As for the density: 13.80 Mg/m³.

The structure belongs to space group P6_3/mmc (No. 194); the cell edges are 5.1903, 5.1903 and 8.3431 Å and the angles 90.00°, 90.00° and 120.00°. Symmetry generates all atoms from Zr at (0.3333, 0.6667, 0.0653), Fe at (0.0000, 0.0000, 0.0000) and Os at (0.1691, 0.3382, 0.7500).